1.
DFT (GGA-PBE) results for LiTb2SmTl4 after structural relaxation.

Cell and atoms, written as POSCAR:
```
LiTb2SmTl4
1.0
2.633 1.520 8.910
-2.633 1.520 8.910
0.000 -3.041 8.910
Li Tb Sm Tl
1 2 1 4
Direct
0.000 0.000 0.000 Li
0.255 0.255 0.255 Tb
0.745 0.745 0.745 Tb
0.500 0.500 0.500 Sm
0.122 0.122 0.122 Tl
0.372 0.372 0.372 Tl
0.628 0.628 0.628 Tl
0.878 0.878 0.878 Tl
```

Properties
Final energy = -3.51 eV/atom



2.
DFT (GGA-PBE) results for LiTbSmTl after structural relaxation.

Cell and atoms, written as POSCAR:
```
LiTbSmTl
1.0
7.568 0.000 0.000
0.000 7.568 0.000
0.000 0.000 7.568
Li Tb Sm Tl
4 4 4 4
Direct
0.000 0.000 0.000 Li
0.000 0.500 0.500 Li
0.500 0.000 0.500 Li
0.500 0.500 0.000 Li
0.250 0.250 0.250 Tb
0.250 0.750 0.750 Tb
0.750 0.250 0.750 Tb
0.750 0.750 0.250 Tb
0.250 0.250 0.750 Sm
0.250 0.750 0.250 Sm
0.750 0.250 0.250 Sm
0.750 0.750 0.750 Sm
0.000 0.000 0.500 Tl
0.000 0.500 0.000 Tl
0.500 0.000 0.000 Tl
0.500 0.500 0.500 Tl
```

Properties
Final energy = -3.60 eV/atom



3.
DFT (GGA-PBE) results for Li2TbSm2Tl2 after structural relaxation.

Cell and atoms, written as POSCAR:
```
Li2TbSm2Tl2
1.0
2.428 1.402 9.065
-2.428 1.402 9.065
0.000 -2.803 9.065
Li Tb Sm Tl
2 1 2 2
Direct
0.107 0.107 0.107 Li
0.893 0.893 0.893 Li
0.500 0.500 0.500 Tb
0.374 0.374 0.374 Sm
0.626 0.626 0.626 Sm
0.235 0.235 0.235 Tl
0.765 0.765 0.765 Tl
```

Properties
Final energy = -3.42 eV/atom



4.
DFT (GGA-PBE) results for LiTbSmY after structural relaxation.

Cell and atoms, written as POSCAR:
```
LiTbSmY
1.0
7.825 0.000 0.000
0.000 7.825 0.000
0.000 0.000 7.825
Li Tb Sm Y
4 4 4 4
Direct
0.000 0.000 0.000 Li
0.000 0.500 0.500 Li
0.500 0.000 0.500 Li
0.500 0.500 0.000 Li
0.000 0.000 0.500 Tb
0.000 0.500 0.000 Tb
0.500 0.000 0.000 Tb
0.500 0.500 0.500 Tb
0.250 0.250 0.250 Sm
0.250 0.750 0.750 Sm
0.750 0.250 0.750 Sm
0.750 0.750 0.250 Sm
0.250 0.250 0.750 Y
0.250 0.750 0.250 Y
0.750 0.250 0.250 Y
0.750 0.750 0.750 Y
```

Properties
Final energy = -4.25 eV/atom



- Which formula does entry 4 have?
  LiTbSmY



- Which formula does entry 1 have?
  LiTb2SmTl4



- final energy of number 1 (LiTb2SmTl4)?
  -3.51 eV/atom



- Which formula does entry 3 have?
  Li2TbSm2Tl2